Material: Cs5HAu2Br
Method: DFT, PBE
State: relaxed Values from VASP.

The structure in Quantum ESPRESSO input format:
```
&SYSTEM
  ibrav = 0, nat = 18, ntyp = 4
/
ATOMIC_SPECIES
Cs 132.91 Cs.upf
H 1.01 H.upf
Au 196.97 Au.upf
Br 79.90 Br.upf
CELL_PARAMETERS angstrom
5.267 0.000 0.000
0.000 15.325 0.000
-2.633 0.000 10.518
ATOMIC_POSITIONS angstrom
Cs -0.001 0.000 0.375
Cs -0.001 5.103 5.947
Cs 0.002 9.987 7.053
Cs -0.001 0.167 7.522
Cs 0.000 3.892 10.116
Cs 2.634 11.554 0.402
Cs 2.635 7.830 2.995
Cs 2.632 2.324 3.465
Cs 2.635 12.766 4.571
Cs 2.635 7.662 10.143
H 0.002 8.820 10.006
H 2.632 1.157 0.511
Au -0.001 4.990 2.228
Au 0.000 10.498 3.006
Au 2.634 2.835 7.512
Au 2.635 12.652 8.290
Br 0.000 15.191 3.941
Br 2.634 7.529 6.577
```

Results
As for the raw total energy: -2.303 eV per atom. Its space-group type is P2_1. The value obtained for the density of states at the Fermi level is 8.1 states/eV per cell.

Material: La2NdDyIn2
Method: DFT, PBE
State: relaxed Values from VASP.

The structure in Quantum ESPRESSO input format:
```
&SYSTEM
  ibrav = 0, nat = 12, ntyp = 4
/
ATOMIC_SPECIES
La 138.91 La.upf
Nd 144.24 Nd.upf
Dy 162.50 Dy.upf
In 114.82 In.upf
CELL_PARAMETERS angstrom
5.242 0.000 0.000
0.000 10.334 0.000
0.000 0.000 6.910
ATOMIC_POSITIONS angstrom
La 0.000 0.597 0.000
La 0.000 9.737 3.455
La 2.621 1.845 1.591
La 2.621 8.490 5.046
Nd 2.621 4.732 6.038
Nd 2.621 5.603 2.583
Dy 0.000 3.194 4.125
Dy 0.000 7.140 0.670
In 0.000 3.937 0.955
In 0.000 6.397 4.410
In 2.621 1.520 4.934
In 2.621 8.814 1.479
```

Results
As for the raw total energy: -4.473 eV per atom. Its space-group type is Pmc2_1. The value obtained for the density of states at the Fermi level is 13.6 states/eV per cell.

Material: ReSiBi3
Method: DFT, PBE
State: relaxed Values from VASP.

The structure in Quantum ESPRESSO input format:
```
&SYSTEM
  ibrav = 0, nat = 5, ntyp = 3
/
ATOMIC_SPECIES
Re 186.21 Re.upf
Si 28.09 Si.upf
Bi 208.98 Bi.upf
CELL_PARAMETERS angstrom
5.297 0.000 0.000
0.000 5.297 0.000
0.000 0.000 5.297
ATOMIC_POSITIONS angstrom
Re 0.000 0.000 0.000
Si 2.648 2.648 2.648
Bi 0.000 2.648 2.648
Bi 2.648 0.000 2.648
Bi 2.648 2.648 0.000
```

Results
As for the raw total energy: -4.301 eV per atom. Its space-group type is Pm-3m. The value obtained for the uncorrected formation energy is 1.601 eV/atom. The value obtained for the density of states at the Fermi level is 4.4 states/eV per cell. The energy above the most stable polymorph in this dataset is 519 meV/atom.